Record 1
This record from Alexandria via LeMat-Bulk describes Sr2BeCd after structural relaxation. The functional is PBE-GGA.

Cell: 3.702 3.702 9.062 Å, 90.00 90.00 90.00°
Sites, in units of the cell vectors:
Cd1 0.500 0.500 0.682
Be1 0.000 0.000 0.559
Sr1 0.000 0.000 0.931
Sr2 0.500 0.500 0.328

Calculated values
Its energy above the most stable polymorph in this dataset is 150 meV/atom. As for the space group: P4mm. The calculated formation energy is 0.223 eV/atom.



Record 2
This record from Alexandria via LeMat-Bulk describes KIn2Hg7 after structural relaxation. The functional is PBE-GGA.

Cell: 3.377 6.253 13.802 Å, 103.09 90.00 90.00°
Sites, in units of the cell vectors:
Hg1 0.500 0.500 0.000
Hg2 0.500 0.145 0.793
In1 0.500 0.293 0.587
Hg3 0.000 0.804 0.608
Hg4 0.500 0.855 0.207
K1 0.000 0.000 0.000
Hg5 0.500 0.352 0.207
In2 0.500 0.707 0.413
Hg6 0.000 0.196 0.392
Hg7 0.500 0.648 0.793

Calculated values
Its energy above the most stable polymorph in this dataset is 0 meV/atom. As for the space group: Cmmm. The calculated formation energy is -0.057 eV/atom.



Record 3
This record from Alexandria via LeMat-Bulk describes SrIn2Si after structural relaxation. The functional is PBE-GGA.

Cell: 5.781 5.781 3.576 Å, 90.00 90.00 114.80°
Sites, in units of the cell vectors:
In1 0.000 0.000 0.000
Si1 0.500 0.000 0.500
Sr1 0.000 0.500 0.500
In2 0.500 0.500 0.000

Calculated values
As for the space group: Cmmm. For the energy relative to the elements, uncorrected, the calculation gives 0.07 eV per atom.



Record 4
This record from Alexandria via LeMat-Bulk describes TaIr2BrN after structural relaxation. The functional is PBE-GGA.

Cell: 3.898 5.380 3.898 Å, 90.00 90.00 90.00°
Last column: magnetic moment on the atom in μB.
Sites, in units of the cell vectors:
Ir1 0.500 0.000 0.000  0.07
Ta1 0.500 0.500 0.500  0.94
Ir2 0.000 0.000 0.500  0.03
N1 0.000 0.000 0.000  0.05
Br1 0.000 0.500 0.000  0.04

Calculated values
As for the space group: P4/mmm. For the energy relative to the elements, uncorrected, the calculation gives 0.92 eV per atom.